No. 1
# RbHgSN2 | Alexandria | PBE | optimized geometry
data_RbHgSN2
_cell_length_a 5.8186
_cell_length_b 5.8186
_cell_length_c 6.6016
_cell_angle_alpha 90.00
_cell_angle_beta 90.00
_cell_angle_gamma 90.00
_symmetry_space_group_name_H-M 'P 4/m m m'
_symmetry_Int_Tables_number 123
_symmetry_space_group_name_Hall '-P 4 2'
loop_
_atom_site_label
_atom_site_fract_x
_atom_site_fract_y
_atom_site_fract_z
_atom_site_occupancy
Rb1 0.0000 0.0000 0.0000 1
Hg1 0.5000 0.5000 0.5000 1
S1 0.0000 0.0000 0.5000 1
N1 0.0000 0.5000 0.0000 1
# Uncorrected formation energy in eV per atom: 2.065
# Energy above the most stable polymorph in this dataset in meV/atom: 672.2

---

No. 2
# CsPa2S7 | Alexandria | PBE | optimized geometry
data_CsPa2S7
_cell_length_a 8.2649
_cell_length_b 12.8085
_cell_length_c 5.2717
_cell_angle_alpha 90.00
_cell_angle_beta 90.00
_cell_angle_gamma 90.00
_symmetry_space_group_name_H-M 'C m m m'
_symmetry_Int_Tables_number 65
_symmetry_space_group_name_Hall '-C 2 2'
loop_
_atom_site_label
_atom_site_fract_x
_atom_site_fract_y
_atom_site_fract_z
_atom_site_occupancy
Cs1 0.0000 0.0000 0.0000 1
Pa1 0.0000 0.2866 0.5000 1
S1 0.0000 0.2834 0.0000 1
S2 0.0000 0.5000 0.5000 1
S3 0.2136 0.1248 0.5000 1
# Uncorrected formation energy in eV per atom: -1.117

---

No. 3
A plane-wave DFT calculation with PBE was carried out for crystalline Ti2BiAs at its relaxed geometry.

CIF file:
```
data_Ti2BiAs
_cell_length_a 3.7579
_cell_length_b 3.7579
_cell_length_c 19.9007
_cell_angle_alpha 90.00
_cell_angle_beta 90.00
_cell_angle_gamma 120.00
_symmetry_space_group_name_H-M 'R 3 m'
_symmetry_Int_Tables_number 160
_symmetry_space_group_name_Hall 'R 3 -2"'
loop_
_atom_site_label
_atom_site_fract_x
_atom_site_fract_y
_atom_site_fract_z
_atom_site_occupancy
Ti1 0.0000 0.0000 0.0000 1
Ti2 0.0000 0.0000 0.1989 1
Bi1 0.0000 0.0000 0.7672 1
As1 0.0000 0.0000 0.5979 1
```

---

No. 4
A plane-wave DFT calculation with PBE was carried out for crystalline LaRu at its relaxed geometry.

CIF file:
```
data_LaRu
_cell_length_a 4.3267
_cell_length_b 4.3267
_cell_length_c 13.6274
_cell_angle_alpha 90.00
_cell_angle_beta 90.00
_cell_angle_gamma 120.00
_symmetry_space_group_name_H-M 'P 63/m m c'
_symmetry_Int_Tables_number 194
_symmetry_space_group_name_Hall '-P 6c 2c'
loop_
_atom_site_label
_atom_site_fract_x
_atom_site_fract_y
_atom_site_fract_z
_atom_site_occupancy
La1 0.3333 0.6667 0.1124 1
Ru1 0.0000 0.0000 0.2500 1
Ru2 0.3333 0.6667 0.7500 1
```

---

Number 1: VASP energy -11.72 eV per cell. Number 2: VASP energy -119.82 eV per cell. Number 3: VASP energy -79.25 eV per cell. Number 4: VASP energy -57.47 eV per cell.